CaTa2Te: relaxed, PBE.

The calculation puts the total energy at -27.41 eV per cell. The value obtained for the total magnetization is 0.00 μB/f.u. For the uncorrected formation energy, the calculation gives 1.4 eV/f.u.

Cell and atoms, written as POSCAR:
```
CaTa2Te
1.0
4.140 0.000 0.000
0.000 4.140 0.000
0.000 0.000 5.044
Ca Ta Te
1 2 1
Cartesian
0.000 0.000 0.000
0.000 2.070 2.522
2.070 0.000 2.522
2.070 2.070 0.000
```

CaTa2TiTe: relaxed, PBE.

The calculation puts the total energy at -26.00 eV per cell. The value obtained for the total magnetization is 0.00 μB/f.u. For the uncorrected formation energy, the calculation gives 10.7 eV/f.u.

Cell and atoms, written as POSCAR:
```
CaTa2TiTe
1.0
4.809 0.000 0.000
0.000 4.809 0.000
0.000 0.000 5.275
Ca Ta Ti Te
1 2 1 1
Cartesian
0.000 0.000 0.000
0.000 2.404 0.000
2.404 0.000 0.000
2.404 2.404 2.637
0.000 0.000 2.637
```

CaTaTi2: relaxed, PBE.

The calculation puts the total energy at -27.42 eV per cell. The value obtained for the total magnetization is 0.00 μB/f.u. The calculation puts the formation energy at 2.22 eV/f.u. The offset from the most stable computed form comes out at 0 meV per atom.

Cell and atoms, written as POSCAR:
```
CaTaTi2
1.0
0.000 3.422 3.422
3.422 0.000 3.422
3.422 3.422 0.000
Ca Ta Ti
1 1 2
Cartesian
0.000 0.000 0.000
3.422 3.422 3.422
1.711 1.711 1.711
5.132 5.132 5.132
```